No. 1
A geometry-optimized Pm5ScPb3 structure, computed with PBE.

Unit cell a=9.6602 b=9.6602 c=6.6624 alpha=90.00 beta=90.00 gamma=120.00
With the nearest neighbours (Å) after each atom.
Positions (direct):
1 Pm 0.0000 0.3156 0.2500  5 Pb 3.20-3.34, 2 Sc 3.47
2 Pm 0.0000 0.6844 0.7500  5 Pb 3.20-3.34, 2 Sc 3.47
3 Pm 0.3156 0.0000 0.2500  5 Pb 3.20-3.34, 2 Sc 3.47
4 Pm 0.3156 0.3156 0.7500  5 Pb 3.20-3.34, 2 Sc 3.47
5 Pm 0.3333 0.6667 0.0000  8 Pm 3.33-3.70, 6 Pb 3.58
6 Pm 0.3333 0.6667 0.5000  8 Pm 3.33-3.70, 6 Pb 3.58
7 Pm 0.6667 0.3333 0.0000  8 Pm 3.33-3.70, 6 Pb 3.58
8 Pm 0.6667 0.3333 0.5000  8 Pm 3.33-3.70, 6 Pb 3.58
9 Pm 0.6844 0.0000 0.7500  5 Pb 3.20-3.34, 2 Sc 3.47
10 Pm 0.6844 0.6844 0.2500  5 Pb 3.20-3.34, 2 Sc 3.47
11 Sc 0.0000 0.0000 0.0000  2 Sc 3.33, 6 Pm 3.47, 6 Pb 3.72
12 Sc 0.0000 0.0000 0.5000  2 Sc 3.33, 6 Pm 3.47, 6 Pb 3.72
13 Pb 0.0000 0.3447 0.7500  9 Pm 3.20-3.58
14 Pb 0.0000 0.6553 0.2500  9 Pm 3.20-3.58
15 Pb 0.3447 0.0000 0.7500  9 Pm 3.20-3.58
16 Pb 0.3447 0.3447 0.2500  9 Pm 3.20-3.58
17 Pb 0.6553 0.0000 0.2500  9 Pm 3.20-3.58
18 Pb 0.6553 0.6553 0.7500  9 Pm 3.20-3.58

Output
Energy of formation, eV per atom: -0.39
Space group: P6_3/mcm, No. 193

=====

No. 2
A geometry-optimized Pm3ScPb2 structure, computed with PBE.

Unit cell a=4.5991 b=4.5991 c=8.6665 alpha=90.00 beta=90.00 gamma=90.00
With the nearest neighbours (Å) after each atom.
Positions (direct):
1 Pm 0.0000 0.0000 0.0000  4 Sc 3.25, 4 Pb 3.32
2 Pm 0.0000 0.5000 0.6559  5 Pb 3.29-3.31
3 Pm 0.5000 0.0000 0.3441  5 Pb 3.29-3.31
4 Sc 0.5000 0.5000 0.0000  4 Pm 3.25, 4 Pb 3.32
5 Pb 0.0000 0.5000 0.2759  7 Pm 3.29-3.32, 2 Sc 3.32
6 Pb 0.5000 0.0000 0.7241  7 Pm 3.29-3.32, 2 Sc 3.32

Output
Energy of formation, eV per atom: -0.43
Space group: P-4m2, No. 115

=====

No. 3
A geometry-optimized PmSc2Pb structure, computed with PBE.

Unit cell a=7.4792 b=7.4792 c=7.4792 alpha=90.00 beta=90.00 gamma=90.00
With the nearest neighbours (Å) after each atom.
Positions (direct):
1 Pm 0.0000 0.0000 0.0000  4 Pb 3.24, 4 Sc 3.24
2 Pm 0.0000 0.5000 0.5000  4 Pb 3.24, 4 Sc 3.24
3 Pm 0.5000 0.0000 0.5000  4 Pb 3.24, 4 Sc 3.24
4 Pm 0.5000 0.5000 0.0000  4 Pb 3.24, 4 Sc 3.24
5 Sc 0.0000 0.0000 0.5000  4 Sc 3.24, 4 Pb 3.24
6 Sc 0.0000 0.5000 0.0000  4 Sc 3.24, 4 Pb 3.24
7 Sc 0.2500 0.2500 0.7500  4 Pm 3.24, 4 Sc 3.24
8 Sc 0.2500 0.7500 0.2500  4 Pm 3.24, 4 Sc 3.24
9 Sc 0.5000 0.0000 0.0000  4 Sc 3.24, 4 Pb 3.24
10 Sc 0.5000 0.5000 0.5000  4 Sc 3.24, 4 Pb 3.24
11 Sc 0.7500 0.2500 0.2500  4 Pm 3.24, 4 Sc 3.24
12 Sc 0.7500 0.7500 0.7500  4 Sc 3.24, 4 Pm 3.24
13 Pb 0.2500 0.2500 0.2500  4 Pm 3.24, 4 Sc 3.24
14 Pb 0.2500 0.7500 0.7500  4 Pm 3.24, 4 Sc 3.24
15 Pb 0.7500 0.2500 0.7500  4 Pm 3.24, 4 Sc 3.24
16 Pb 0.7500 0.7500 0.2500  4 Pm 3.24, 4 Sc 3.24

Output
Energy of formation, eV per atom: -0.11
E above lowest polymorph, eV/f.u.: 0.61
Space group: F-43m, No. 216

=====

No. 4
A geometry-optimized Pm5Sc2Pb4 structure, computed with PBE.

Unit cell a=11.5176 b=11.5176 c=11.5176 alpha=161.97 beta=133.10 gamma=50.64
With the nearest neighbours (Å) after each atom.
Positions (direct):
1 Pm 0.0000 0.0000 0.0000  4 Pb 3.19
2 Pm 0.0563 0.3453 0.7110  4 Pb 3.26-3.47, 2 Sc 3.59, 2 Pm 3.61
3 Pm 0.3657 0.6547 0.7110  4 Pb 3.26-3.47, 2 Sc 3.59, 2 Pm 3.61
4 Pm 0.6343 0.3453 0.2890  4 Pb 3.26-3.47, 2 Sc 3.59, 2 Pm 3.61
5 Pm 0.9437 0.6547 0.2890  4 Pb 3.26-3.47, 2 Sc 3.59, 2 Pm 3.61
6 Sc 0.4229 0.9229 0.5000  5 Pb 2.96-3.10, 1 Sc 3.21
7 Sc 0.5771 0.0771 0.5000  5 Pb 2.96-3.10, 1 Sc 3.21
8 Pb 0.2809 0.7809 0.5000  1 Sc 2.96, 2 Pm 3.26
9 Pb 0.2876 0.5000 0.7876  4 Sc 3.10, 4 Pm 3.19-3.30
10 Pb 0.7124 0.5000 0.2124  4 Sc 3.10, 4 Pm 3.19-3.30
11 Pb 0.7191 0.2191 0.5000  1 Sc 2.96, 2 Pm 3.26

Output
Energy of formation, eV per atom: -0.27
Space group: Immm, No. 71

=====

No. 5
A geometry-optimized Pm2ScPb structure, computed with PBE.

Unit cell a=7.7669 b=7.7669 c=7.7669 alpha=90.00 beta=90.00 gamma=90.00
With the nearest neighbours (Å) after each atom.
Positions (direct):
1 Pm 0.2500 0.2500 0.2500  4 Pb 3.36, 4 Sc 3.36
2 Pm 0.2500 0.2500 0.7500  4 Pb 3.36, 4 Sc 3.36
3 Pm 0.2500 0.7500 0.2500  4 Pb 3.36, 4 Sc 3.36
4 Pm 0.2500 0.7500 0.7500  4 Pb 3.36, 4 Sc 3.36
5 Pm 0.7500 0.2500 0.2500  4 Pb 3.36, 4 Sc 3.36
6 Pm 0.7500 0.2500 0.7500  4 Pb 3.36, 4 Sc 3.36
7 Pm 0.7500 0.7500 0.2500  4 Pb 3.36, 4 Sc 3.36
8 Pm 0.7500 0.7500 0.7500  4 Pb 3.36, 4 Sc 3.36
9 Sc 0.0000 0.0000 0.0000  8 Pm 3.36
10 Sc 0.0000 0.5000 0.5000  8 Pm 3.36
11 Sc 0.5000 0.0000 0.5000  8 Pm 3.36
12 Sc 0.5000 0.5000 0.0000  8 Pm 3.36
13 Pb 0.0000 0.0000 0.5000  8 Pm 3.36
14 Pb 0.0000 0.5000 0.0000  8 Pm 3.36
15 Pb 0.5000 0.0000 0.0000  8 Pm 3.36
16 Pb 0.5000 0.5000 0.5000  8 Pm 3.36

Output
Energy of formation, eV per atom: -0.14
E above lowest polymorph, eV/f.u.: 0.59
Space group: Fm-3m, No. 225

=====

No. 6
A geometry-optimized Pm3ScPb structure, computed with PBE.

Unit cell a=8.4210 b=6.8528 c=11.8916 alpha=90.00 beta=119.05 gamma=90.00
With the nearest neighbours (Å) after each atom.
Positions (direct):
1 Pm 0.0166 0.0888 0.2690  2 Sc 3.33-3.42, 6 Pm 3.38-3.57, 2 Pb 3.43-3.52
2 Pm 0.0166 0.4112 0.7690  2 Sc 3.33-3.42, 6 Pm 3.38-3.57, 2 Pb 3.43-3.52
3 Pm 0.2029 0.1145 0.0406  4 Pm 3.29-3.51, 3 Pb 3.36-3.66, 3 Sc 3.43-3.59
4 Pm 0.2029 0.3855 0.5406  4 Pm 3.29-3.51, 3 Pb 3.36-3.66, 3 Sc 3.43-3.59
5 Pm 0.4089 0.6614 0.8735  4 Pm 3.29-3.57, 4 Pb 3.38-3.52, 3 Sc 3.46-3.52
6 Pm 0.4089 0.8386 0.3735  4 Pm 3.29-3.57, 4 Pb 3.38-3.52, 3 Sc 3.46-3.52
7 Pm 0.5911 0.1614 0.6265  4 Pm 3.29-3.57, 4 Pb 3.38-3.52, 3 Sc 3.46-3.52
8 Pm 0.5911 0.3386 0.1265  4 Pm 3.29-3.57, 4 Pb 3.38-3.52, 3 Sc 3.46-3.52
9 Pm 0.7971 0.6145 0.4594  4 Pm 3.29-3.51, 3 Pb 3.36-3.66, 3 Sc 3.43-3.59
10 Pm 0.7971 0.8855 0.9594  4 Pm 3.29-3.51, 3 Pb 3.36-3.66, 3 Sc 3.43-3.59
11 Pm 0.9834 0.5888 0.2310  2 Sc 3.33-3.42, 6 Pm 3.38-3.57, 2 Pb 3.43-3.52
12 Pm 0.9834 0.9112 0.7310  2 Sc 3.33-3.42, 6 Pm 3.38-3.57, 2 Pb 3.43-3.52
13 Sc 0.2114 0.6166 0.0685  2 Pb 3.25-3.30, 8 Pm 3.33-3.59, 1 Sc 3.50
14 Sc 0.2114 0.8834 0.5685  2 Pb 3.25-3.30, 8 Pm 3.33-3.59, 1 Sc 3.50
15 Sc 0.7886 0.1166 0.4315  2 Pb 3.25-3.30, 8 Pm 3.33-3.59, 1 Sc 3.50
16 Sc 0.7886 0.3834 0.9315  2 Pb 3.25-3.30, 8 Pm 3.33-3.59, 1 Sc 3.50
17 Pb 0.3975 0.1536 0.8255  2 Sc 3.25-3.30, 8 Pm 3.36-3.52
18 Pb 0.3975 0.3464 0.3255  2 Sc 3.25-3.30, 8 Pm 3.36-3.52
19 Pb 0.6025 0.6536 0.6745  2 Sc 3.25-3.30, 8 Pm 3.36-3.52
20 Pb 0.6025 0.8464 0.1745  2 Sc 3.25-3.30, 8 Pm 3.36-3.52

Output
Energy of formation, eV per atom: -0.21
Space group: P2_1/c, No. 14

=====

No. 7
A geometry-optimized PmSc2Pb structure, computed with PBE.

Unit cell a=3.7458 b=3.7458 c=7.6136 alpha=90.00 beta=90.00 gamma=90.00
With the nearest neighbours (Å) after each atom.
Positions (direct):
1 Pm 0.0000 0.0000 0.0000  8 Sc 3.40, 4 Pm 3.75, 2 Pb 3.81
2 Sc 0.5000 0.5000 0.2802  4 Pb 3.13, 1 Sc 3.35, 4 Pm 3.40
3 Sc 0.5000 0.5000 0.7198  4 Pb 3.13, 1 Sc 3.35, 4 Pm 3.40
4 Pb 0.0000 0.0000 0.5000  8 Sc 3.13

Output
Energy of formation, eV per atom: -0.15
E above lowest polymorph, eV/f.u.: 0.44
Space group: P4/mmm, No. 123

=====

No. 8
A geometry-optimized PmScPb structure, computed with PBE.

Unit cell a=7.2502 b=7.2502 c=7.2502 alpha=90.00 beta=90.00 gamma=90.00
With the nearest neighbours (Å) after each atom.
Positions (direct):
1 Pm 0.0000 0.0000 0.0000  4 Pb 3.14
2 Pm 0.0000 0.5000 0.5000  4 Pb 3.14
3 Pm 0.5000 0.0000 0.5000  4 Pb 3.14
4 Pm 0.5000 0.5000 0.0000  4 Pb 3.14
5 Sc 0.0000 0.0000 0.5000  4 Pb 3.14
6 Sc 0.0000 0.5000 0.0000  4 Pb 3.14
7 Sc 0.5000 0.0000 0.0000  4 Pb 3.14
8 Sc 0.5000 0.5000 0.5000  4 Pb 3.14
9 Pb 0.2500 0.2500 0.2500  4 Sc 3.14, 4 Pm 3.14
10 Pb 0.2500 0.7500 0.7500  4 Sc 3.14, 4 Pm 3.14
11 Pb 0.7500 0.2500 0.7500  4 Sc 3.14, 4 Pm 3.14
12 Pb 0.7500 0.7500 0.2500  4 Sc 3.14, 4 Pm 3.14

Output
Energy of formation, eV per atom: -0.18
E above lowest polymorph, eV/f.u.: 0.85
Space group: F-43m, No. 216

=====

No. 9
A geometry-optimized Pm3ScPb2 structure, computed with PBE.

Unit cell a=9.7890 b=9.7890 c=9.7890 alpha=141.10 beta=56.00 gamma=141.35
With the nearest neighbours (Å) after each atom.
Positions (direct):
1 Pm 0.1729 0.2459 0.4188  5 Pb 3.27-3.37
2 Pm 0.2500 0.2500 0.0000  2 Pm 3.24, 2 Sc 3.26, 4 Pb 3.34
3 Pm 0.3271 0.7459 0.0730  5 Pb 3.27-3.37
4 Pm 0.6729 0.2541 0.9270  5 Pb 3.27-3.37
5 Pm 0.7500 0.7500 0.0000  2 Pm 3.24, 2 Sc 3.26, 4 Pb 3.34
6 Pm 0.8271 0.7541 0.5812  5 Pb 3.27-3.37
7 Sc 0.2500 0.7500 0.5000  2 Sc 3.24, 4 Pb 3.26, 2 Pm 3.26
8 Sc 0.7500 0.2500 0.5000  2 Sc 3.24, 4 Pb 3.26, 2 Pm 3.26
9 Pb 0.1366 0.7374 0.8740  2 Sc 3.26, 7 Pm 3.27-3.37
10 Pb 0.3634 0.2374 0.6008  2 Sc 3.26, 7 Pm 3.27-3.37
11 Pb 0.6366 0.7626 0.3992  2 Sc 3.26, 7 Pm 3.27-3.37
12 Pb 0.8634 0.2626 0.1260  2 Sc 3.26, 7 Pm 3.27-3.37

Output
Energy of formation, eV per atom: -0.43
Space group: Ibam, No. 72

=====

No. 10
A geometry-optimized Pm4ScPb structure, computed with PBE.

Unit cell a=8.3954 b=8.3954 c=6.4795 alpha=99.93 beta=99.93 gamma=115.58
With the nearest neighbours (Å) after each atom.
Positions (direct):
1 Pm 0.0927 0.7108 0.9530  2 Pb 3.27, 4 Pm 3.41-3.61, 2 Sc 3.52-3.65
2 Pm 0.1859 0.4053 0.6193  2 Pb 3.33-3.40, 2 Sc 3.43-3.45, 3 Pm 3.50-3.53
3 Pm 0.2892 0.9073 0.5470  2 Pb 3.27, 4 Pm 3.41-3.61, 2 Sc 3.52-3.65
4 Pm 0.4053 0.1859 0.1193  2 Pb 3.33-3.40, 2 Sc 3.43-3.45, 3 Pm 3.50-3.53
5 Pm 0.5947 0.8141 0.8807  2 Pb 3.33-3.40, 2 Sc 3.43-3.45, 3 Pm 3.50-3.53
6 Pm 0.7108 0.0927 0.4530  2 Pb 3.27, 4 Pm 3.41-3.61, 2 Sc 3.52-3.65
7 Pm 0.8141 0.5947 0.3807  2 Pb 3.33-3.40, 2 Sc 3.43-3.45, 3 Pm 3.50-3.53
8 Pm 0.9073 0.2892 0.0470  2 Pb 3.27, 4 Pm 3.41-3.61, 2 Sc 3.52-3.65
9 Sc 0.4022 0.5978 0.2500  8 Pm 3.43-3.65
10 Sc 0.5978 0.4022 0.7500  8 Pm 3.43-3.65
11 Pb 0.0011 0.9989 0.2500  2 Pb 3.24, 8 Pm 3.27-3.40
12 Pb 0.9989 0.0011 0.7500  2 Pb 3.24, 8 Pm 3.27-3.40

Output
Energy of formation, eV per atom: -0.04
Space group: C2/c, No. 15

=====

No. 11
A geometry-optimized PmScPb2 structure, computed with PBE.

Unit cell a=3.4833 b=3.4833 c=8.9310 alpha=90.00 beta=90.00 gamma=90.00
With the nearest neighbours (Å) after each atom.
Positions (direct):
1 Pm 0.0000 0.0000 0.0000  8 Pb 3.43, 4 Pm 3.48
2 Sc 0.0000 0.0000 0.5000  8 Pb 3.23, 4 Sc 3.48
3 Pb 0.5000 0.5000 0.2666  4 Sc 3.23, 4 Pm 3.43, 4 Pb 3.48
4 Pb 0.5000 0.5000 0.7334  4 Sc 3.23, 4 Pm 3.43, 4 Pb 3.48

Output
Energy of formation, eV per atom: -0.40
Space group: P4/mmm, No. 123

=====

No. 12
A geometry-optimized Pm8Sc2Pb structure, computed with PBE.

Unit cell a=9.3660 b=9.3660 c=8.0089 alpha=105.42 beta=105.42 gamma=30.67
With the nearest neighbours (Å) after each atom.
Positions (direct):
1 Pm 0.0459 0.0459 0.2280  9 Pm 3.49-3.61, 1 Sc 3.54, 2 Pb 3.54
2 Pm 0.1399 0.1399 0.6875  3 Sc 3.45-3.50, 7 Pm 3.47-3.60, 2 Pb 3.56
3 Pm 0.3198 0.3198 0.5916  8 Pm 3.49-3.59, 1 Pb 3.53, 3 Sc 3.58-3.63
4 Pm 0.4054 0.4054 0.0526  3 Sc 3.45-3.48, 8 Pm 3.47-3.74, 1 Pb 3.52
5 Pm 0.5946 0.5946 0.9474  3 Sc 3.45-3.48, 8 Pm 3.47-3.74, 1 Pb 3.52
6 Pm 0.6802 0.6802 0.4084  8 Pm 3.49-3.59, 1 Pb 3.53, 3 Sc 3.58-3.63
7 Pm 0.8601 0.8601 0.3125  3 Sc 3.45-3.50, 7 Pm 3.47-3.60, 2 Pb 3.56
8 Pm 0.9541 0.9541 0.7720  9 Pm 3.49-3.61, 1 Sc 3.54, 2 Pb 3.54
9 Sc 0.2251 0.2251 0.1291  10 Pm 3.45-3.63, 2 Sc 3.50
10 Sc 0.7749 0.7749 0.8709  10 Pm 3.45-3.63, 2 Sc 3.50
11 Pb 0.5000 0.5000 0.5000  12 Pm 3.52-3.56

Output
Energy of formation, eV per atom: -0.07
Space group: C2/m, No. 12